Record 1
! LaCeTlCd | the Alexandria database | PBE | relaxed; values from VASP
! Energy relative to the lowest polymorph listed for this composition, meV/atom: 3
! Formation energy, eV/atom: -0.26
&SYSTEM
  ibrav = 0, nat = 4, ntyp = 4
/
ATOMIC_SPECIES
Tl 204.38 Tl.upf
La 138.91 La.upf
Cd 112.41 Cd.upf
Ce 140.12 Ce.upf
CELL_PARAMETERS angstrom
-3.2074 0.5856 -3.3161
-3.6077 -0.6024 3.3831
-0.0035 4.9311 0.8742
ATOMIC_POSITIONS angstrom
Tl -1.8056 2.1644 2.1287
La -3.4075 -0.0084 0.0335
Cd 0.0000 0.0000 0.0000
Ce -1.6054 2.7584 -1.2209



Record 2
! LiFe2Br8 | the Alexandria database | PBE | relaxed; values from VASP
! Energy relative to the lowest polymorph listed for this composition, meV/atom: 6
! Formation energy from raw total energies, eV per atom: -0.5911
&SYSTEM
  ibrav = 0, nat = 22, ntyp = 3
/
ATOMIC_SPECIES
Li 6.94 Li.upf
Br 79.90 Br.upf
Fe 55.84 Fe.upf
CELL_PARAMETERS angstrom
3.4657 -8.7663 0.6244
5.0072 -3.6403 -7.4331
10.8492 -0.5801 3.1049
ATOMIC_POSITIONS angstrom
Li 9.8612 -11.4589 -4.1872
Br 10.1509 -3.4418 -1.3459
Br 7.6131 -4.6766 -6.4596
Br 4.6755 -8.7673 -1.7574
Fe 11.3006 -8.6623 -2.7545
Br 6.9293 -2.6425 0.2556
Br 9.1511 -9.8314 -6.2688
Br 8.2696 -6.3320 0.1291
Fe 17.8240 -11.1753 -2.7758
Br 11.7091 -8.3101 2.7558
Br 14.6467 -4.2193 -1.9465
Br 6.7765 -4.7520 -2.8757
Br 9.1713 -9.5448 -2.3580
Li 9.4609 -1.5278 0.4834
Br 16.5861 -9.4244 -1.9650
Fe 1.4982 -1.8113 -0.9281
Fe 8.0215 -4.3243 -0.9493
Br 2.7360 -3.5622 -1.7388
Br 12.3928 -10.3442 -3.9594
Br 10.1711 -3.1553 2.5649
Br 12.5457 -8.2346 -0.8281
Br 11.0525 -6.6547 -3.8330



Record 3
! K2FeOs | the Alexandria database | PBE | relaxed; values from VASP
! Energy relative to the lowest polymorph listed for this composition, meV/atom: 0
! Formation energy, eV/atom: 0.77
&SYSTEM
  ibrav = 0, nat = 4, ntyp = 3
/
ATOMIC_SPECIES
K 39.10 K.upf
Fe 55.84 Fe.upf
Os 190.23 Os.upf
CELL_PARAMETERS angstrom
2.8101 0.0000 0.0000
0.0000 3.8372 0.0000
0.0000 0.0000 10.1958
ATOMIC_POSITIONS angstrom
K 1.4051 1.9186 3.4603
Fe 1.4051 1.9186 6.7127
K 0.0000 0.0000 9.2800
Os 0.0000 0.0000 6.0366



Record 4
! Cd2InAs2 | the Alexandria database | PBE | relaxed; values from VASP
! Formation energy, eV/atom: 0.10
&SYSTEM
  ibrav = 0, nat = 10, ntyp = 3
/
ATOMIC_SPECIES
As 74.92 As.upf
Cd 112.41 Cd.upf
In 114.82 In.upf
CELL_PARAMETERS angstrom
8.4991 0.0000 0.0000
0.0000 8.4991 0.0000
0.0000 0.0000 3.2135
ATOMIC_POSITIONS angstrom
As 5.7255 1.4760 0.0000
As 7.0231 5.7255 0.0000
Cd 7.4072 3.1577 1.6067
Cd 5.3414 7.4072 1.6067
In 0.0000 0.0000 0.0000
In 4.2495 4.2495 0.0000
As 2.7736 7.0231 0.0000
Cd 1.0918 5.3414 1.6067
Cd 3.1577 1.0918 1.6067
As 1.4760 2.7736 0.0000



Record 5
! Rb3PuS4 | the Alexandria database | PBE | relaxed; values from VASP
! Energy relative to the lowest polymorph listed for this composition, meV/atom: 0
! Formation energy from raw total energies, eV per atom: -1.1839
&SYSTEM
  ibrav = 0, nat = 8, ntyp = 3
/
ATOMIC_SPECIES
Rb 85.47 Rb.upf
S 32.06 S.upf
Pu 244.00 Pu.upf
CELL_PARAMETERS angstrom
4.2382 0.0000 0.0000
0.0000 7.4545 -2.9964
0.0000 0.2372 8.0307
ATOMIC_POSITIONS angstrom
Rb 0.0000 3.7272 -1.4982
Rb 2.1191 3.8459 2.5171
S 2.1191 1.6220 5.9150
Pu 2.1191 0.0000 0.0000
Rb 0.0000 0.1186 4.0153
S 0.0000 6.1988 4.0571
S 0.0000 1.4930 0.9772
S 2.1191 6.0698 -0.8807



Record 6
! BaMn2Cr | the Alexandria database | PBE | relaxed; values from VASP
! Energy relative to the lowest polymorph listed for this composition, meV/atom: 48
! Formation energy, eV/atom: 0.54
&SYSTEM
  ibrav = 0, nat = 4, ntyp = 3
/
ATOMIC_SPECIES
Mn 54.94 Mn.upf
Ba 137.33 Ba.upf
Cr 52.00 Cr.upf
CELL_PARAMETERS angstrom
4.2749 -0.3125 0.1778
2.4014 3.5505 0.1778
1.9745 0.9576 6.3935
ATOMIC_POSITIONS angstrom
Mn 6.4524 3.1294 6.0474
Ba 4.3230 2.0966 3.2572
Cr 2.2206 1.0770 0.3047
Mn 6.6564 3.2283 0.8698



Record 7
! Ce4Te3Se | the Alexandria database | PBE | relaxed; values from VASP
! Formation energy from raw total energies, eV per atom: -1.4697
&SYSTEM
  ibrav = 0, nat = 8, ntyp = 3
/
ATOMIC_SPECIES
Te 127.60 Te.upf
Ce 140.12 Ce.upf
Se 78.96 Se.upf
CELL_PARAMETERS angstrom
-3.4974 2.1964 1.4892
-2.6926 -1.8768 2.9157
5.9864 5.5210 12.3872
ATOMIC_POSITIONS angstrom
Te -0.0733 4.4338 12.7017
Ce -3.2593 0.7965 4.1132
Se 0.0000 0.0000 0.0000
Ce -3.2083 2.3251 8.4494
Te -0.1302 1.4068 4.0904
Ce 3.0558 5.0441 12.6790
Ce 3.0047 3.5154 8.3428
Te -0.1018 2.9203 8.3961



Record 8
! Ho2SeCl | the Alexandria database | PBE | relaxed; values from VASP
! Energy relative to the lowest polymorph listed for this composition, meV/atom: 0
! Formation energy from raw total energies, eV per atom: -1.3725
&SYSTEM
  ibrav = 0, nat = 4, ntyp = 3
/
ATOMIC_SPECIES
Ho 164.93 Ho.upf
Cl 35.45 Cl.upf
Se 78.96 Se.upf
CELL_PARAMETERS angstrom
-3.0581 0.8286 1.9182
-3.3041 -1.1885 -1.1784
-1.2556 -6.7183 4.4761
ATOMIC_POSITIONS angstrom
Ho -1.9189 -1.6590 1.2331
Cl -3.8107 -3.5253 2.5991
Se -4.2390 -0.2584 0.5050
Ho -1.4580 -5.1747 3.4866



Record 9
! Li2AgGeTe4 | the Alexandria database | PBE | relaxed; values from VASP
! Formation energy from raw total energies, eV per atom: -0.3039
&SYSTEM
  ibrav = 0, nat = 16, ntyp = 4
/
ATOMIC_SPECIES
Li 6.94 Li.upf
Te 127.60 Te.upf
Ge 72.64 Ge.upf
Ag 107.87 Ag.upf
CELL_PARAMETERS angstrom
-0.4130 8.0849 -1.5424
-3.1520 -1.5741 -7.4500
-3.5281 -3.2207 6.9016
ATOMIC_POSITIONS angstrom
Li -5.1225 0.8580 -4.7704
Te -2.6304 0.0772 1.2121
Te -5.9789 -2.4120 0.9215
Te -2.8906 4.0483 0.4119
Te -1.1142 5.7022 -3.0123
Ge -6.6801 -4.7948 -0.5483
Ag -3.7530 5.6875 -1.8166
Ge -3.5465 1.6450 -1.0454
Ag -1.5760 -0.7870 -3.7250
Li -1.7640 -1.6103 3.4508
Li -5.3106 0.0347 2.4054
Te -4.4627 3.2128 -3.3029
Li -0.2065 4.0424 -0.7712
Te -0.8878 1.6678 -2.1963
Te -6.2053 1.6223 0.1056
Te -4.2025 -0.7582 -2.5026



Record 10
! LiPmTcSb | the Alexandria database | PBE | relaxed; values from VASP
! Formation energy from raw total energies, eV per atom: -0.2098
&SYSTEM
  ibrav = 0, nat = 4, ntyp = 4
/
ATOMIC_SPECIES
Pm 145.00 Pm.upf
Sb 121.76 Sb.upf
Tc 98.00 Tc.upf
Li 6.94 Li.upf
CELL_PARAMETERS angstrom
-0.3331 -3.9890 2.6258
2.9078 -3.6984 -0.8856
3.4665 -1.1168 3.1071
ATOMIC_POSITIONS angstrom
Pm 3.0206 -4.4021 2.4236
Sb 0.0000 0.0000 0.0000
Tc 4.5310 -6.6031 3.6355
Li 1.5103 -2.2010 1.2118



Record 11
! KZnBi2 | the Alexandria database | PBE | relaxed; values from VASP
! Formation energy, eV/atom: -0.02
&SYSTEM
  ibrav = 0, nat = 4, ntyp = 3
/
ATOMIC_SPECIES
Bi 208.98 Bi.upf
K 39.10 K.upf
Zn 65.41 Zn.upf
CELL_PARAMETERS angstrom
-4.8310 -0.7652 -1.5888
-2.1299 -4.6639 0.3993
-4.4666 -0.3318 5.4177
ATOMIC_POSITIONS angstrom
Bi -2.5564 -1.6472 0.2430
Bi -8.8711 -4.1138 3.9852
K -5.7137 -2.8805 2.1141
Zn 0.0000 0.0000 0.0000



Record 12
! BeSb2Au | the Alexandria database | PBE | relaxed; values from VASP
! Formation energy from raw total energies, eV per atom: 0.1962
&SYSTEM
  ibrav = 0, nat = 4, ntyp = 3
/
ATOMIC_SPECIES
Be 9.01 Be.upf
Sb 121.76 Sb.upf
Au 196.97 Au.upf
CELL_PARAMETERS angstrom
-0.0922 3.2447 -0.4848
-2.8995 0.1741 1.7168
4.0564 1.1219 6.7372
ATOMIC_POSITIONS angstrom
Be 1.2661 2.4733 5.2031
Sb 3.7245 1.0301 6.1859
Sb -0.1709 2.0759 2.8166
Au 2.3297 0.6443 3.8692



Which formula does entry 8 have? Ho2SeCl